Entry 1:
Ta2TlCl | Alexandria | PBE | relaxed; energy relative to the elements, uncorrected = 0.2 eV per formula unit; distance to the lowest polymorph of the same formula = 64.9 meV/atom; energy = -6.93 eV/atom
1.0
2.941 0.000 0.000
0.000 2.941 0.000
0.000 0.000 10.676
Cl Ta Tl
1 2 1
direct
0.500 0.500 0.838
0.500 0.500 0.202
0.000 0.000 0.999
0.000 0.000 0.462

Entry 2:
Ta2TlCl | Alexandria | PBE | relaxed; energy relative to the elements, uncorrected = 1.8 eV per formula unit; distance to the lowest polymorph of the same formula = 468.4 meV/atom; energy = -6.53 eV/atom
1.0
-0.948 -0.019 -3.036
2.728 -1.227 1.081
-4.345 -8.422 1.408
Cl Ta Tl
1 2 1
direct
0.500 0.500 0.750
0.000 0.000 0.518
0.000 0.000 0.982
0.500 0.500 0.250

Entry 3:
Ta2TlCl | Alexandria | PBE | relaxed; energy relative to the elements, uncorrected = 1.6 eV per formula unit; distance to the lowest polymorph of the same formula = 420.7 meV/atom; energy = -6.58 eV/atom
1.0
9.488 0.005 0.003
8.996 3.014 0.003
8.996 1.469 2.631
Ta Cl Tl
2 1 1
direct
0.007 0.007 0.007
0.493 0.493 0.493
0.750 0.750 0.750
0.250 0.250 0.250

Entry 4:
TaTlCl | Alexandria | PBE | relaxed; energy relative to the elements, uncorrected = 0.2 eV per formula unit; distance to the lowest polymorph of the same formula = 167.6 meV/atom; energy = -5.30 eV/atom
1.0
9.256 -0.048 0.030
8.414 3.042 -0.098
0.842 -1.475 2.717
Tl Ta Cl
1 1 1
direct
0.693 0.693 0.307
0.348 0.348 0.652
0.958 0.958 0.042

Entry 5:
TaVCl2 | Alexandria | PBE | relaxed; energy relative to the elements, uncorrected = 2.3 eV per formula unit; distance to the lowest polymorph of the same formula = 689.0 meV/atom; energy = -5.59 eV/atom
1.0
5.669 0.000 0.000
0.000 5.669 0.000
2.835 2.835 4.996
Ta V Cl
2 2 4
direct
0.000 0.000 0.000
0.750 0.250 0.500
0.250 0.750 0.500
0.500 0.500 0.000
0.875 0.857 0.750
0.143 0.625 0.250
0.375 0.393 0.750
0.607 0.125 0.250

Entry 6:
TaV2Cl6 | Alexandria | PBE | relaxed; energy relative to the elements, uncorrected = -7.5 eV per formula unit; energy = -5.41 eV/atom
1.0
-2.112 3.650 -3.342
-8.469 -1.155 0.991
0.190 7.224 4.671
Cl Ta V
12 2 4
direct
0.413 0.696 0.507
0.697 0.924 0.775
0.159 0.083 0.669
0.659 0.669 0.083
0.841 0.917 0.331
0.087 0.493 0.304
0.913 0.507 0.696
0.803 0.225 0.076
0.303 0.076 0.225
0.341 0.331 0.917
0.197 0.775 0.924
0.587 0.304 0.493
0.250 0.057 0.943
0.750 0.943 0.057
0.618 0.479 0.275
0.118 0.275 0.479
0.382 0.521 0.725
0.882 0.725 0.521

Entry 7:
TaVCl | Alexandria | PBE | relaxed; energy relative to the elements, uncorrected = -0.5 eV per formula unit; energy = -7.76 eV/atom
1.0
-1.480 2.789 0.094
-5.126 -0.952 0.590
0.734 1.897 8.380
Ta Cl V
2 2 2
direct
0.260 0.861 0.619
0.740 0.139 0.381
0.276 0.284 0.164
0.724 0.716 0.836
0.990 0.621 0.399
0.010 0.379 0.601

Entry 8:
TaV3Cl | Alexandria | PBE | relaxed; energy relative to the elements, uncorrected = 8.2 eV per formula unit; distance to the lowest polymorph of the same formula = 1138.0 meV/atom; energy = -6.57 eV/atom
1.0
4.859 0.000 0.000
0.000 4.859 0.000
0.000 0.000 4.859
Ta Cl V
1 1 3
direct
0.000 0.000 0.000
0.500 0.500 0.500
0.500 0.000 0.000
0.000 0.500 0.000
0.000 0.000 0.500